Entry 1:
A plane-wave DFT calculation with PBE was carried out for a geometry-optimized CsPtSe3 structure.

The structure belongs to space group Pm-3m (No. 221); the cell edges are 5.1614, 5.1614 and 5.1614 Å and the angles 90.00°, 90.00° and 90.00°. Symmetry generates all atoms from Cs at (0.0000, 0.0000, 0.0000), Pt at (0.5000, 0.5000, 0.5000) and Se at (0.0000, 0.5000, 0.5000).

As for the raw total energy: -3.6176 eV per atom. As for the magnetic moment: 0.009 μB/f.u. The calculation puts the uncorrected formation energy at -0.148 eV/atom. As for the density of states at the Fermi level: 1.2463 states/eV/atom.

---

Entry 2:
A plane-wave DFT calculation with PBE was carried out for a geometry-optimized CsPtSe2 structure.

The structure belongs to space group R3m (No. 160, hexagonal axes); the cell edges are 4.0826, 4.0826 and 23.2993 Å and the angles 90.00°, 90.00° and 120.00°. Symmetry generates all atoms from Cs at (0.0000, 0.0000, 0.0000), Pt at (0.0000, 0.0000, 0.8304), Se at (0.0000, 0.0000, 0.2143) and Se at (0.0000, 0.0000, 0.4484).

As for the raw total energy: -3.9709 eV per atom. Its distance to the lowest polymorph of the same formula is 161.9 meV/atom. As for the magnetic moment: 0.001 μB/f.u. The calculation puts the uncorrected formation energy at -0.505 eV/atom. As for the density of states at the Fermi level: 1.1611 states/eV/atom.

---

Entry 3:
A plane-wave DFT calculation with PBE was carried out for a geometry-optimized CsPtSe2 structure.

The structure belongs to space group R-3m (No. 166, hexagonal axes); the cell edges are 3.9798, 3.9798 and 28.1005 Å and the angles 90.00°, 90.00° and 120.00°. Symmetry generates all atoms from Cs at (0.0000, 0.0000, 0.0000), Pt at (0.0000, 0.0000, 0.5000) and Se at (0.0000, 0.0000, 0.1237).

As for the raw total energy: -3.7772 eV per atom. Its distance to the lowest polymorph of the same formula is 355.7 meV/atom. As for the magnetic moment: 0.000 μB/f.u. The calculation puts the uncorrected formation energy at -0.311 eV/atom. As for the density of states at the Fermi level: 0.9544 states/eV/atom.